Arrangement P

## Cr2FeTc (GGA-PBEsol)

Data for a relaxed structure of Cr2FeTc.

Lattice parameters (Å, degrees): 3.6196 3.6196 7.1571 90.00 90.00 90.00
With the nearest neighbours (Å) after each atom.
Space group I4/mmm (No. 139)
Inequivalent atoms, fractional coordinates:
Cr (0.0000, 0.5000, 0.2500) x4  4 Fe 2.54, 4 Tc 2.54, 4 Cr 2.56
Fe (0.0000, 0.0000, 0.0000) x2  8 Cr 2.54, 4 Tc 2.56
Tc (0.0000, 0.0000, 0.5000) x2  8 Cr 2.54, 4 Fe 2.56

Calculated values
* calculated density: 9.13 g cm⁻³

***

Arrangement Q

## Cr2FeTc (GGA-PBEsol)

Data for a relaxed structure of Cr2FeTc.

Lattice parameters (Å, degrees): 2.8561 2.8561 5.7633 90.00 90.00 90.00
With the nearest neighbours (Å) after each atom.
Space group P4mm (No. 99)
Inequivalent atoms, fractional coordinates:
Cr (0.0000, 0.0000, 0.0000) x1  4 Cr 2.44, 4 Tc 2.50, 1 Fe 2.64
Cr (0.5000, 0.5000, 0.2363) x1  4 Fe 2.39, 4 Cr 2.44
Fe (0.0000, 0.0000, 0.4589) x1  5 Cr 2.39-2.64, 4 Tc 2.60
Tc (0.5000, 0.5000, 0.7431) x1  4 Cr 2.50, 4 Fe 2.60

Calculated values
* calculated density: 9.11 g cm⁻³

***

Of them, arrangement P has the lowest stability.

***

Arrangement P

## La2MnRh (GGA-PBEsol)

Data for a relaxed structure of La2MnRh.

Lattice parameters (Å, degrees): 6.9087 6.9087 6.9087 90.00 90.00 90.00
With the nearest neighbours (Å) after each atom.
Space group F-43m (No. 216)
Inequivalent atoms, fractional coordinates:
La (0.0000, 0.0000, 0.0000) x4  4 Rh 2.99, 4 La 2.99
La (0.2500, 0.2500, 0.2500) x4  4 Mn 2.99, 4 La 2.99
Mn (0.0000, 0.0000, 0.5000) x4  4 La 2.99, 4 Rh 2.99
Rh (0.2500, 0.2500, 0.7500) x4  4 Mn 2.99, 4 La 2.99

Calculated values
* calculated density: 8.78 g cm⁻³

***

Arrangement Q

## La2MnRh (GGA-PBEsol)

Data for a relaxed structure of La2MnRh.

Lattice parameters (Å, degrees): 3.3605 3.3605 8.2990 90.00 90.00 90.00
With the nearest neighbours (Å) after each atom.
Space group P4mm (No. 99)
Inequivalent atoms, fractional coordinates:
La (0.0000, 0.0000, 0.0000) x1  4 Rh 2.97, 1 Mn 3.01
La (0.5000, 0.5000, 0.3895) x1  4 Mn 3.14, 1 Rh 3.28, 4 La 3.36
Mn (0.0000, 0.0000, 0.6368) x1  4 Rh 2.67
Rh (0.5000, 0.5000, 0.7844) x1  4 Mn 2.67, 4 La 2.97

Calculated values
* calculated density: 7.72 g cm⁻³

***

Of them, arrangement Q has the lowest stability.

***

Arrangement P

## LiPb2 (GGA-PBEsol)

Data for a relaxed structure of LiPb2.

Lattice parameters (Å, degrees): 8.6538 8.6538 3.5110 90.00 90.00 120.00
With the nearest neighbours (Å) after each atom.
Space group P-62m (No. 189)
Inequivalent atoms, fractional coordinates:
Li (0.0000, 0.0000, 0.0000) x1  9 Pb 3.08-3.20
Li (0.3333, 0.6667, 0.5000) x2  9 Pb 3.08-3.25
Pb (0.0000, 0.3698, 0.0000) x3  5 Li 3.20-3.25, 8 Pb 3.41-3.51
Pb (0.0000, 0.7081, 0.5000) x3  4 Li 3.08, 6 Pb 3.41

Calculated values
* calculated density: 9.22 g cm⁻³

***

Arrangement Q

## LiPb2 (GGA-PBEsol)

Data for a relaxed structure of LiPb2.

Lattice parameters (Å, degrees): 5.0999 5.0999 3.4905 90.00 90.00 120.00
With the nearest neighbours (Å) after each atom.
Space group P-3m1 (No. 164)
Inequivalent atoms, fractional coordinates:
Li (0.0000, 0.0000, 0.0000) x1  6 Pb 3.14, 2 Li 3.49
Pb (0.3333, 0.6667, 0.6907) x2  3 Li 3.14, 5 Pb 3.23-3.49

Calculated values
* calculated density: 8.90 g cm⁻³

***

Of them, arrangement Q has the lowest stability.

***

Arrangement P

## FePt2Au (GGA-PBEsol)

Data for a relaxed structure of FePt2Au.

Lattice parameters (Å, degrees): 6.2113 6.2113 6.2113 90.00 90.00 90.00
With the nearest neighbours (Å) after each atom.
Space group Fm-3m (No. 225)
Inequivalent atoms, fractional coordinates:
Fe (0.0000, 0.0000, 0.0000) x4  8 Pt 2.69
Pt (0.2500, 0.2500, 0.2500) x8  4 Fe 2.69, 4 Au 2.69
Au (0.0000, 0.0000, 0.5000) x4  8 Pt 2.69

Calculated values
* calculated density: 17.82 g cm⁻³

***

Arrangement Q

## FePt2Au (GGA-PBEsol)

Data for a relaxed structure of FePt2Au.

Lattice parameters (Å, degrees): 2.7535 2.7535 7.7302 90.00 90.00 90.00
With the nearest neighbours (Å) after each atom.
Space group P4/mmm (No. 123)
Inequivalent atoms, fractional coordinates:
Fe (0.0000, 0.0000, 0.0000) x1  8 Pt 2.61, 4 Fe 2.75
Pt (0.5000, 0.5000, 0.2246) x2  4 Fe 2.61, 4 Pt 2.75, 4 Au 2.88
Au (0.0000, 0.0000, 0.5000) x1  4 Au 2.75, 8 Pt 2.88

Calculated values
* calculated density: 18.22 g cm⁻³

***

Of them, arrangement P has the lowest stability.

***

Arrangement P

## Ag5Sb (GGA-PBEsol)

Data for a relaxed structure of Ag5Sb.

Lattice parameters (Å, degrees): 3.0621 3.0621 11.6805 90.00 90.00 90.00
With the nearest neighbours (Å) after each atom.
Space group P4/mmm (No. 123)
Inequivalent atoms, fractional coordinates:
Ag (0.0000, 0.0000, 0.0000) x1  12 Ag 2.81-3.06
Ag (0.0000, 0.0000, 0.3098) x2  8 Ag 2.83-3.06, 4 Sb 3.10
Ag (0.5000, 0.5000, 0.1532) x2  12 Ag 2.81-3.06
Sb (0.5000, 0.5000, 0.5000) x1  4 Sb 3.06, 8 Ag 3.10

Calculated values
* calculated density: 10.02 g cm⁻³

***

Arrangement Q

## Ag5Sb (GGA-PBEsol)

Data for a relaxed structure of Ag5Sb.

Lattice parameters (Å, degrees): 4.1509 12.5392 4.1069 90.00 90.00 90.00
With the nearest neighbours (Å) after each atom.
Space group Cmmm (No. 65)
Inequivalent atoms, fractional coordinates:
Ag (0.0000, 0.0000, 0.0000) x2  4 Sb 2.92, 8 Ag 2.96-2.99
Ag (0.0000, 0.1696, 0.5000) x4  10 Ag 2.86-2.96, 2 Sb 2.97
Ag (0.0000, 0.3286, 0.0000) x4  10 Ag 2.86-2.99, 2 Sb 2.97
Sb (0.0000, 0.5000, 0.5000) x2  12 Ag 2.92-2.97

Calculated values
* calculated density: 10.27 g cm⁻³

***

Of them, arrangement P has the lowest stability.

***

Arrangement P

## La2Sc (GGA-PBEsol)

Data for a relaxed structure of La2Sc.

Lattice parameters (Å, degrees): 5.6680 3.5321 18.2297 90.00 90.00 90.00
With the nearest neighbours (Å) after each atom.
Space group Amm2 (No. 38)
Inequivalent atoms, fractional coordinates:
La (0.0000, 0.0000, 0.0000) x2  10 La 3.48-3.60, 2 Sc 3.54
La (0.0000, 0.0000, 0.3280) x2  8 La 3.46-3.60, 4 Sc 3.50
La (0.0000, 0.0000, 0.6646) x2  6 Sc 3.44-3.45, 6 La 3.46-3.53
La (0.5000, 0.0000, 0.4465) x2  8 La 3.48-3.56, 4 Sc 3.57-3.65
Sc (0.5000, 0.0000, 0.1168) x2  4 Sc 3.32-3.53, 8 La 3.45-3.57
Sc (0.5000, 0.0000, 0.7713) x2  4 Sc 3.32-3.53, 8 La 3.44-3.65

Calculated values
* calculated density: 5.87 g cm⁻³

***

Arrangement Q

## La2Sc (GGA-PBEsol)

Data for a relaxed structure of La2Sc.

Lattice parameters (Å, degrees): 6.1472 6.1472 5.5953 90.00 90.00 120.00
With the nearest neighbours (Å) after each atom.
Space group P-62m (No. 189)
Inequivalent atoms, fractional coordinates:
La (0.0000, 0.0000, 0.0000) x1  6 Sc 3.55, 6 La 3.61
La (0.0000, 0.6296, 0.5000) x3  6 La 3.37-3.61, 4 Sc 3.41
Sc (0.3333, 0.6667, 0.0000) x2  9 La 3.41-3.55, 3 Sc 3.55

Calculated values
* calculated density: 5.85 g cm⁻³

***

Of them, arrangement P has the lowest stability.